1.
{"formula": "MnPb3Br", "functional": "PBE", "state": "relaxed", "volume_a3_per_atom": 27.409, "formation_energy_uncorrected_ev_per_atom": -0.02, "cell": [[5.156, 0.000, 0.000], [0.000, 5.156, 0.000], [0.000, 0.000, 5.156]], "species": ["Mn", "Pb", "Pb", "Pb", "Br"], "fractional_positions": [[0.000, 0.000, 0.000], [0.000, 0.000, 0.500], [0.000, 0.500, 0.000], [0.500, 0.000, 0.000], [0.500, 0.500, 0.500]]}

---

2.
{"formula": "Ba2AlI", "functional": "PBE", "state": "relaxed", "volume_a3_per_atom": 45.127, "formation_energy_uncorrected_ev_per_atom": -0.64, "cell": [[2.358, 1.362, 9.369], [-2.358, 1.362, 9.369], [0.000, -2.723, 9.369]], "species": ["Ba", "Ba", "Al", "I"], "fractional_positions": [[0.244, 0.244, 0.244], [0.756, 0.756, 0.756], [0.500, 0.500, 0.500], [0.000, 0.000, 0.000]]}

---

3.
{"formula": "TcMo2WN", "functional": "PBE", "state": "relaxed", "volume_a3_per_atom": 13.875, "formation_energy_uncorrected_ev_per_atom": -0.03, "cell": [[4.110, 0.000, 0.000], [0.000, 4.110, 0.000], [0.000, 0.000, 4.106]], "species": ["Tc", "Mo", "Mo", "W", "N"], "fractional_positions": [[0.000, 0.000, 0.000], [0.000, 0.500, 0.500], [0.500, 0.000, 0.500], [0.500, 0.500, 0.000], [0.500, 0.500, 0.500]]}

---

4.
{"formula": "CuRuRh2", "functional": "PBE", "state": "relaxed", "volume_a3_per_atom": 13.702, "energy_ev_per_atom": -6.92, "cell": [[4.448, -1.346, 0.000], [4.448, 1.346, 0.000], [-0.790, 0.000, 4.578]], "species": ["Cu", "Ru", "Rh", "Rh"], "fractional_positions": [[0.000, 0.000, 0.000], [0.500, 0.500, 0.500], [0.250, 0.250, 0.750], [0.750, 0.750, 0.250]]}

---

5.
{"formula": "LaPmHoEr3", "functional": "PBE", "state": "relaxed", "volume_a3_per_atom": 32.818, "energy_ev_per_atom": -4.46, "cell": [[9.841, -2.811, 0.000], [9.841, 2.811, 0.000], [-0.068, 0.000, 7.118]], "species": ["La", "La", "Pm", "Pm", "Ho", "Ho", "Er", "Er", "Er", "Er", "Er", "Er"], "fractional_positions": [[0.145, 0.145, 0.034], [0.855, 0.855, 0.966], [0.448, 0.448, 0.731], [0.552, 0.552, 0.269], [0.151, 0.151, 0.458], [0.849, 0.849, 0.542], [0.024, 0.024, 0.734], [0.279, 0.279, 0.757], [0.335, 0.335, 0.271], [0.665, 0.665, 0.729], [0.721, 0.721, 0.243], [0.976, 0.976, 0.266]]}

---

6.
{"formula": "NbZnRu2", "functional": "PBE", "state": "relaxed", "volume_a3_per_atom": 15.245, "energy_ev_per_atom": -7.45, "cell": [[2.475, -1.425, 0.000], [2.475, 1.425, 0.000], [-1.698, 0.000, 8.645]], "species": ["Nb", "Zn", "Ru", "Ru"], "fractional_positions": [[0.000, 0.000, 0.000], [0.166, 0.166, 0.499], [0.414, 0.414, 0.253], [0.585, 0.585, 0.746]]}

---

7.
{"formula": "LiCuPO4", "functional": "PBE", "state": "relaxed", "volume_a3_per_atom": 12.561, "formation_energy_uncorrected_ev_per_atom": -1.74, "cell": [[8.041, 0.000, 0.000], [0.000, 5.144, 0.000], [-0.845, 0.000, 8.502]], "species": ["Li", "Li", "Li", "Li", "Cu", "Cu", "Cu", "Cu", "P", "P", "P", "P", "O", "O", "O", "O", "O", "O", "O", "O", "O", "O", "O", "O", "O", "O", "O", "O"], "fractional_positions": [[0.034, 0.000, 0.174], [0.436, 0.464, 0.582], [0.564, 0.964, 0.418], [0.966, 0.500, 0.826], [0.064, 0.551, 0.390], [0.325, 0.958, 0.908], [0.675, 0.458, 0.092], [0.936, 0.051, 0.610], [0.233, 0.985, 0.528], [0.261, 0.478, 0.079], [0.739, 0.978, 0.921], [0.767, 0.485, 0.472], [0.070, 0.064, 0.419], [0.142, 0.612, 0.188], [0.178, 0.046, 0.696], [0.216, 0.612, 0.915], [0.217, 0.183, 0.064], [0.261, 0.689, 0.511], [0.384, 0.139, 0.491], [0.447, 0.520, 0.137], [0.553, 0.020, 0.863], [0.616, 0.639, 0.509], [0.739, 0.189, 0.489], [0.783, 0.683, 0.936], [0.784, 0.112, 0.085], [0.822, 0.546, 0.304], [0.858, 0.112, 0.812], [0.930, 0.564, 0.581]]}

---

8.
{"formula": "V5ZnNi8", "functional": "PBE", "state": "relaxed", "volume_a3_per_atom": 12.660, "energy_ev_per_atom": -6.58, "cell": [[-3.483, 3.483, 3.653], [3.483, -3.483, 3.653], [3.483, 3.483, -3.653]], "species": ["V", "V", "V", "V", "V", "Zn", "Ni", "Ni", "Ni", "Ni", "Ni", "Ni", "Ni", "Ni"], "fractional_positions": [[0.000, 0.000, 0.000], [0.201, 0.286, 0.648], [0.447, 0.799, 0.085], [0.638, 0.553, 0.352], [0.714, 0.362, 0.915], [0.250, 0.750, 0.500], [0.155, 0.414, 0.055], [0.359, 0.100, 0.945], [0.446, 0.178, 0.409], [0.586, 0.641, 0.740], [0.769, 0.037, 0.591], [0.822, 0.231, 0.268], [0.900, 0.845, 0.260], [0.963, 0.554, 0.732]]}